No. 1
Crystalline PmNd2Gd at its relaxed geometry. Source: Alexandria via LeMat-Bulk, functional GGA-PBE.

The structure in CIF format:
```
data_PmNd2Gd
_space_group_name_H-M_alt 'P 4/m m m'
_space_group_IT_number 123
_space_group_name_Hall '-P 4 2'
_cell_length_a 5.164
_cell_length_b 5.164
_cell_length_c 5.155
_cell_angle_alpha 90.00
_cell_angle_beta 90.00
_cell_angle_gamma 90.00
loop_
_atom_site_label
_atom_site_type_symbol
_atom_site_fract_x
_atom_site_fract_y
_atom_site_fract_z
_atom_site_occupancy
Pm1 Pm 0.000 0.000 0.000 1
Nd1 Nd 0.000 0.500 0.500 1
Gd1 Gd 0.500 0.500 0.000 1
```

Summary:
The energy is -7.08 eV per atom. The calculation puts the density at 7.14 g cm⁻³. For the energy above the lowest structure with this stoichiometry, the calculation gives 0 meV per atom. Its density of states at the Fermi level is 6.6 states/eV/cell.

***

No. 2
Crystalline PmNdGdPu at its relaxed geometry. Source: Alexandria via LeMat-Bulk, functional GGA-PBE.

The structure in CIF format:
```
data_PmNdGdPu
_space_group_name_H-M_alt 'F -4 3 m'
_space_group_IT_number 216
_space_group_name_Hall 'F -4 2 3'
_cell_length_a 8.050
_cell_length_b 8.050
_cell_length_c 8.050
_cell_angle_alpha 90.00
_cell_angle_beta 90.00
_cell_angle_gamma 90.00
loop_
_atom_site_label
_atom_site_type_symbol
_atom_site_fract_x
_atom_site_fract_y
_atom_site_fract_z
_atom_site_occupancy
Pm1 Pm 0.000 0.000 0.000 1
Nd1 Nd 0.000 0.000 0.500 1
Gd1 Gd 0.250 0.250 0.250 1
Pu1 Pu 0.250 0.250 0.750 1
```

Summary:
The energy is -9.28 eV per atom. The calculation puts the density at 8.79 g cm⁻³. Its density of states at the Fermi level is 54.1 states/eV/cell.

***

No. 3
Crystalline PmNdGdRu at its relaxed geometry. Source: Alexandria via LeMat-Bulk, functional GGA-PBE.

The structure in CIF format:
```
data_PmNdGdRu
_space_group_name_H-M_alt 'F -4 3 m'
_space_group_IT_number 216
_space_group_name_Hall 'F -4 2 3'
_cell_length_a 7.417
_cell_length_b 7.417
_cell_length_c 7.417
_cell_angle_alpha 90.00
_cell_angle_beta 90.00
_cell_angle_gamma 90.00
loop_
_atom_site_label
_atom_site_type_symbol
_atom_site_fract_x
_atom_site_fract_y
_atom_site_fract_z
_atom_site_occupancy
Pm1 Pm 0.000 0.000 0.000 1
Nd1 Nd 0.000 0.000 0.500 1
Gd1 Gd 0.250 0.250 0.250 1
Ru1 Ru 0.250 0.250 0.750 1
```

Summary:
The energy is -8.06 eV per atom. The calculation puts the density at 8.91 g cm⁻³. Its density of states at the Fermi level is 28.9 states/eV/cell.

***

No. 4
Crystalline PmNdSmGd at its relaxed geometry. Source: Alexandria via LeMat-Bulk, functional GGA-PBE.

The structure in CIF format:
```
data_PmNdSmGd
_space_group_name_H-M_alt 'F -4 3 m'
_space_group_IT_number 216
_space_group_name_Hall 'F -4 2 3'
_cell_length_a 8.182
_cell_length_b 8.182
_cell_length_c 8.182
_cell_angle_alpha 90.00
_cell_angle_beta 90.00
_cell_angle_gamma 90.00
loop_
_atom_site_label
_atom_site_type_symbol
_atom_site_fract_x
_atom_site_fract_y
_atom_site_fract_z
_atom_site_occupancy
Pm1 Pm 0.000 0.000 0.000 1
Nd1 Nd 0.250 0.250 0.750 1
Sm1 Sm 0.000 0.000 0.500 1
Gd1 Gd 0.250 0.250 0.250 1
```

Summary:
The energy is -6.96 eV per atom. The calculation puts the density at 7.24 g cm⁻³. Its density of states at the Fermi level is 28.5 states/eV/cell.

***

No. 5
Crystalline PmNdGdSn at its relaxed geometry. Source: Alexandria via LeMat-Bulk, functional GGA-PBE.

The structure in CIF format:
```
data_PmNdGdSn
_space_group_name_H-M_alt 'F -4 3 m'
_space_group_IT_number 216
_space_group_name_Hall 'F -4 2 3'
_cell_length_a 7.821
_cell_length_b 7.821
_cell_length_c 7.821
_cell_angle_alpha 90.00
_cell_angle_beta 90.00
_cell_angle_gamma 90.00
loop_
_atom_site_label
_atom_site_type_symbol
_atom_site_fract_x
_atom_site_fract_y
_atom_site_fract_z
_atom_site_occupancy
Pm1 Pm 0.000 0.000 0.000 1
Nd1 Nd 0.250 0.250 0.250 1
Gd1 Gd 0.250 0.250 0.750 1
Sn1 Sn 0.000 0.000 0.500 1
```

Summary:
The energy is -7.16 eV per atom. The calculation puts the density at 7.85 g cm⁻³. Its density of states at the Fermi level is 20.3 states/eV/cell.

***

No. 6
Crystalline TbPmNdGd at its relaxed geometry. Source: Alexandria via LeMat-Bulk, functional GGA-PBE.

The structure in CIF format:
```
data_TbPmNdGd
_space_group_name_H-M_alt 'F -4 3 m'
_space_group_IT_number 216
_space_group_name_Hall 'F -4 2 3'
_cell_length_a 8.149
_cell_length_b 8.149
_cell_length_c 8.149
_cell_angle_alpha 90.00
_cell_angle_beta 90.00
_cell_angle_gamma 90.00
loop_
_atom_site_label
_atom_site_type_symbol
_atom_site_fract_x
_atom_site_fract_y
_atom_site_fract_z
_atom_site_occupancy
Tb1 Tb 0.000 0.000 0.000 1
Pm1 Pm 0.000 0.000 0.500 1
Nd1 Nd 0.250 0.250 0.250 1
Gd1 Gd 0.250 0.250 0.750 1
```

Summary:
The energy is -6.94 eV per atom. The calculation puts the density at 7.43 g cm⁻³. Its density of states at the Fermi level is 29.4 states/eV/cell.

***

No. 7
Crystalline PmNdGdTh at its relaxed geometry. Source: Alexandria via LeMat-Bulk, functional GGA-PBE.

The structure in CIF format:
```
data_PmNdGdTh
_space_group_name_H-M_alt 'F -4 3 m'
_space_group_IT_number 216
_space_group_name_Hall 'F -4 2 3'
_cell_length_a 8.127
_cell_length_b 8.127
_cell_length_c 8.127
_cell_angle_alpha 90.00
_cell_angle_beta 90.00
_cell_angle_gamma 90.00
loop_
_atom_site_label
_atom_site_type_symbol
_atom_site_fract_x
_atom_site_fract_y
_atom_site_fract_z
_atom_site_occupancy
Pm1 Pm 0.000 0.000 0.000 1
Nd1 Nd 0.250 0.250 0.250 1
Gd1 Gd 0.000 0.000 0.500 1
Th1 Th 0.250 0.250 0.750 1
```

Summary:
The energy is -7.59 eV per atom. The calculation puts the density at 8.40 g cm⁻³. Its density of states at the Fermi level is 38.7 states/eV/cell.

***

No. 8
Crystalline PrNd2Gd at its relaxed geometry. Source: Alexandria via LeMat-Bulk, functional GGA-PBE.

The structure in CIF format:
```
data_PrNd2Gd
_space_group_name_H-M_alt 'F m -3 m'
_space_group_IT_number 225
_space_group_name_Hall '-F 4 2 3'
_cell_length_a 8.246
_cell_length_b 8.246
_cell_length_c 8.246
_cell_angle_alpha 90.00
_cell_angle_beta 90.00
_cell_angle_gamma 90.00
loop_
_atom_site_label
_atom_site_type_symbol
_atom_site_fract_x
_atom_site_fract_y
_atom_site_fract_z
_atom_site_occupancy
Pr1 Pr 0.000 0.000 0.000 1
Nd1 Nd 0.250 0.250 0.250 1
Gd1 Gd 0.000 0.000 0.500 1
```

Summary:
The energy is -6.98 eV per atom. The calculation puts the density at 6.95 g cm⁻³. For the energy above the lowest structure with this stoichiometry, the calculation gives 106 meV per atom. Its density of states at the Fermi level is 29.5 states/eV/cell.

***

No. 9
Crystalline PrNd2Gd at its relaxed geometry. Source: Alexandria via LeMat-Bulk, functional GGA-PBE.

The structure in CIF format:
```
data_PrNd2Gd
_space_group_name_H-M_alt 'P 4/m m m'
_space_group_IT_number 123
_space_group_name_Hall '-P 4 2'
_cell_length_a 5.182
_cell_length_b 5.182
_cell_length_c 5.187
_cell_angle_alpha 90.00
_cell_angle_beta 90.00
_cell_angle_gamma 90.00
loop_
_atom_site_label
_atom_site_type_symbol
_atom_site_fract_x
_atom_site_fract_y
_atom_site_fract_z
_atom_site_occupancy
Pr1 Pr 0.000 0.000 0.000 1
Nd1 Nd 0.000 0.500 0.500 1
Gd1 Gd 0.500 0.500 0.000 1
```

Summary:
The energy is -7.09 eV per atom. The calculation puts the density at 6.99 g cm⁻³. For the energy above the lowest structure with this stoichiometry, the calculation gives 0 meV per atom. Its density of states at the Fermi level is 6.8 states/eV/cell.

***

No. 10
Crystalline Pr2NdGd at its relaxed geometry. Source: Alexandria via LeMat-Bulk, functional GGA-PBE.

The structure in CIF format:
```
data_Pr2NdGd
_space_group_name_H-M_alt 'R -3 m'
_space_group_IT_number 166
_space_group_name_Hall '-R 3 2"'
_cell_length_a 3.5931
_cell_length_b 3.5931
_cell_length_c 38.2044
_cell_angle_alpha 90.00
_cell_angle_beta 90.00
_cell_angle_gamma 120.00
loop_
_atom_site_label
_atom_site_type_symbol
_atom_site_fract_x
_atom_site_fract_y
_atom_site_fract_z
_atom_site_occupancy
Pr1 Pr 0.0000 0.0000 0.0878 1
Nd1 Nd 0.0000 0.0000 0.5000 1
Gd1 Gd 0.0000 0.0000 0.0000 1
```

Summary:
The energy is -6.95 eV per atom. The calculation puts the density at 6.80 g cm⁻³. For the energy above the lowest structure with this stoichiometry, the calculation gives 148 meV per atom. Its density of states at the Fermi level is 21.2 states/eV/cell.

***

No. 11
Crystalline Pr2NdGd at its relaxed geometry. Source: Alexandria via LeMat-Bulk, functional GGA-PBE.

The structure in CIF format:
```
data_Pr2NdGd
_space_group_name_H-M_alt 'P 4/m m m'
_space_group_IT_number 123
_space_group_name_Hall '-P 4 2'
_cell_length_a 3.684
_cell_length_b 3.684
_cell_length_c 10.360
_cell_angle_alpha 90.00
_cell_angle_beta 90.00
_cell_angle_gamma 90.00
loop_
_atom_site_label
_atom_site_type_symbol
_atom_site_fract_x
_atom_site_fract_y
_atom_site_fract_z
_atom_site_occupancy
Pr1 Pr 0.000 0.000 0.247 1
Nd1 Nd 0.500 0.500 0.500 1
Gd1 Gd 0.500 0.500 0.000 1
```

Summary:
The energy is -7.09 eV per atom. The calculation puts the density at 6.89 g cm⁻³. For the energy above the lowest structure with this stoichiometry, the calculation gives 6 meV per atom. Its density of states at the Fermi level is 6.7 states/eV/cell.

***

No. 12
Crystalline PrNdGd at its relaxed geometry. Source: Alexandria via LeMat-Bulk, functional GGA-PBE.

The structure in CIF format:
```
data_PrNdGd
_space_group_name_H-M_alt 'P -6 m 2'
_space_group_IT_number 187
_space_group_name_Hall 'P -6 2'
_cell_length_a 5.8026
_cell_length_b 5.8026
_cell_length_c 3.5473
_cell_angle_alpha 90.00
_cell_angle_beta 90.00
_cell_angle_gamma 120.00
loop_
_atom_site_label
_atom_site_type_symbol
_atom_site_fract_x
_atom_site_fract_y
_atom_site_fract_z
_atom_site_occupancy
Pr1 Pr 0.0000 0.0000 0.0000 1
Nd1 Nd 0.3333 0.6667 0.5000 1
Gd1 Gd 0.6667 0.3333 0.5000 1
```

Summary:
The energy is -7.83 eV per atom. The calculation puts the density at 7.10 g cm⁻³. For the energy above the lowest structure with this stoichiometry, the calculation gives 38 meV per atom. Its density of states at the Fermi level is 4.8 states/eV/cell.

***

no.,E_form (eV per atom)
1,0.010
2,0.202
3,0.162
4,0.119
5,-0.258
6,0.121
7,0.167
8,0.115
9,0.009
10,0.157
11,0.015
12,0.050